# 1
{
  "formula": "NaLaTl4",
  "functional": "PBE",
  "state": "optimized geometry",
  "lattice": [[3.6084, -0.0036, 0.8168], [0.0073, 5.2021, -0.0086], [1.8339, 0.0131, 9.9572]],
  "species": ["Na", "La", "Tl", "Tl", "Tl", "Tl"],
  "fractional_positions": [[0.0019, 0.9973, 0.4976], [0.5009, 0.4972, 0.9985], [0.7285, 0.9973, 0.1660], [0.2769, 0.9973, 0.8299], [0.2283, 0.4973, 0.6601], [0.7712, 0.4974, 0.3367]],
  "spacegroup": "Pm",
  "relative_energy_mev_per_atom": 0
}

# 2
{
  "formula": "LaCeTlCu",
  "functional": "PBE",
  "state": "optimized geometry",
  "lattice": [[-4.6701, 2.6783, -0.0312], [-3.6469, -0.9928, -3.8338], [-4.5760, -2.5537, 1.2342]],
  "species": ["Tl", "Cu", "Ce", "La"],
  "fractional_positions": [[0.2500, 0.2500, 0.2500], [0.7500, 0.7500, 0.7500], [0.5000, 0.5000, 0.5000], [0.0000, 0.0000, 0.0000]],
  "spacegroup": "F-43m"
}

# 3
{
  "formula": "MgPaCoOs",
  "functional": "PBE",
  "state": "optimized geometry",
  "lattice": [[-1.0844, 2.2714, -3.8675], [-4.4253, 0.7415, -1.0765], [-1.7503, 4.2627, 0.2415]],
  "species": ["Co", "Mg", "Pa", "Os"],
  "fractional_positions": [[0.5000, 0.5000, 0.5000], [0.7500, 0.7500, 0.7500], [0.2500, 0.2500, 0.2500], [0.0000, 0.0000, 0.0000]],
  "spacegroup": "F-43m"
}

# 4
{
  "formula": "TbDy6Ho2Tm",
  "functional": "PBE",
  "state": "optimized geometry",
  "lattice": [[-7.2022, 1.0121, 6.0838], [4.4060, -5.4309, 5.1981], [2.1249, 8.4485, 0.1886]],
  "species": ["Tb", "Tb", "Dy", "Dy", "Dy", "Dy", "Dy", "Dy", "Dy", "Dy", "Dy", "Dy", "Dy", "Dy", "Ho", "Ho", "Ho", "Ho", "Tm", "Tm"],
  "fractional_positions": [[0.2500, 0.9765, 0.0235], [0.7500, 0.0235, 0.9765], [0.0559, 0.1241, 0.7521], [0.4441, 0.2479, 0.8759], [0.9441, 0.8759, 0.2479], [0.5559, 0.7521, 0.1241], [0.3147, 0.9829, 0.4314], [0.1853, 0.5686, 0.0171], [0.6853, 0.0171, 0.5686], [0.8147, 0.4314, 0.9829], [0.1196, 0.7093, 0.4952], [0.3804, 0.5048, 0.2907], [0.8804, 0.2907, 0.5048], [0.6196, 0.4952, 0.7093], [0.4554, 0.8017, 0.6969], [0.0446, 0.3031, 0.1983], [0.5446, 0.1983, 0.3031], [0.9554, 0.6969, 0.8017], [0.2500, 0.4092, 0.5908], [0.7500, 0.5908, 0.4092]],
  "spacegroup": "C2/c"
}

Final energy, respectively: -16.9 -17.8 -29.9 -89.3 eV/cell.
ΔH_f (0 K), respectively: -0.191 -0.122 -0.130 0.120 eV/atom.